A plane-wave DFT calculation with PBE+U was carried out for a relaxed Li4NbCo3O8 crystal.

Values from the calculation:
- Magnetic moment: 0.6298 μB per atom
- Polymorph energy (0 for the lowest one): 15 meV/atom
- Total energy: -6.28 eV/atom
- SG: P1

abc: 5.1167 5.6675 6.5397
angles: 90.11 90.47 90.14
Closest atoms and distances in Å follow each position.
Atoms (fractional coordinates):
Li (0.0000, 0.0000, 0.0000)  4 O 1.94-2.10
Li (0.9996, 0.4649, 0.7381)  4 O 1.97-2.15
Li (0.4933, 0.8135, 0.2344)  4 O 1.95-2.07
Li (0.4940, 0.3317, 0.4756)  4 O 1.93-2.08
Nb (0.4868, 0.8238, 0.7351)  4 O 1.89
Co (0.0012, 0.9997, 0.4640)  4 O 1.92-2.09
Co (0.0006, 0.4943, 0.2404)  4 O 1.87-1.90
Co (0.4907, 0.3328, 0.0044)  4 O 1.92-2.06
O (0.1050, 0.8110, 0.2329)  2 Co 1.87-1.93, 2 Li 1.94-1.99
O (0.1087, 0.3243, 0.4749)  2 Co 1.89-1.92, 2 Li 1.97-1.98
O (0.1112, 0.3306, 0.0028)  2 Co 1.90-1.94, 2 Li 1.96-1.97
O (0.1182, 0.8287, 0.7315)  1 Nb 1.89, 1 Co 2.09, 1 Li 2.10
O (0.6010, 0.5077, 0.7421)  1 Nb 1.89, 2 Li 2.05-2.08, 1 Co 2.06
O (0.6008, 0.9889, 0.9699)  1 Nb 1.89, 1 Co 2.04, 2 Li 2.05-2.07
O (0.6064, 0.9817, 0.4997)  1 Nb 1.89, 1 Co 2.04, 2 Li 2.06-2.07
O (0.6296, 0.4931, 0.2397)  2 Co 1.90-1.92, 2 Li 1.93-1.95